Computed, not measured: crystalline CsRbMgF4 at its relaxed geometry at the PBE level of DFT.

```
data_CsRbMgF4
_cell_length_a 4.1857
_cell_length_b 4.1857
_cell_length_c 14.5989
_cell_angle_alpha 90.00
_cell_angle_beta 90.00
_cell_angle_gamma 90.00
_space_group_name_H-M_alt 'I 4 m m'
_space_group_IT_number 107
_space_group_name_Hall 'I 4 -2'
loop_
_atom_site_label
_atom_site_type_symbol
_atom_site_fract_x
_atom_site_fract_y
_atom_site_fract_z
Cs1 Cs 0.0000 0.0000 0.0000
Rb1 Rb 0.0000 0.0000 0.7054
Mg1 Mg 0.0000 0.0000 0.3439
F1 F 0.0000 0.0000 0.2067
F2 F 0.0000 0.0000 0.4824
F3 F 0.0000 0.5000 0.3435
```

density of states at the Fermi level	0.0000	states/eV per atom
M_tot	0.000	μB per cell
raw total energy	-65.02	eV for the cell shown
formation energy (no corrections)	-3.087	eV/atom